Record 1
Density functional theory data (SCAN) for a PBEsol-optimized structure of LiHfPd2.

The structure in extended XYZ format:
```
16
Lattice="6.294 0.000 0.000 0.000 6.294 0.000 0.000 0.000 6.294" Properties=species:S:1:pos:R:3 pbc="T T T"
Li 0.000 0.000 0.000
Li 0.000 3.147 3.147
Li 3.147 0.000 3.147
Li 3.147 3.147 0.000
Hf 0.000 0.000 3.147
Hf 0.000 3.147 0.000
Hf 3.147 0.000 0.000
Hf 3.147 3.147 3.147
Pd 1.574 1.574 1.574
Pd 1.574 1.574 4.721
Pd 1.574 4.721 1.574
Pd 1.574 4.721 4.721
Pd 4.721 1.574 1.574
Pd 4.721 1.574 4.721
Pd 4.721 4.721 1.574
Pd 4.721 4.721 4.721
```

Computed properties:
E_form	-681	meV/atom
density	10.61	g/cm3

Record 2
Density functional theory data (SCAN) for a PBEsol-optimized structure of KHg2Pb2.

The structure in extended XYZ format:
```
10
Lattice="5.120 0.000 0.000 0.000 5.120 0.000 0.000 0.000 12.041" Properties=species:S:1:pos:R:3 pbc="T T T"
K 0.000 0.000 0.000
K 2.560 2.560 6.021
Hg 0.000 2.560 3.010
Hg 0.000 2.560 9.031
Hg 2.560 0.000 3.010
Hg 2.560 0.000 9.031
Pb 0.000 0.000 4.525
Pb 0.000 0.000 7.516
Pb 2.560 2.560 1.495
Pb 2.560 2.560 10.546
```

Computed properties:
E_form	-182	meV/atom
density	8.99	g/cm3
excess energy over the best structure of this formula in the dataset	0.0000	eV/atom

Record 3
Density functional theory data (SCAN) for a PBEsol-optimized structure of Re2NiSbIr.

The structure in extended XYZ format:
```
5
Lattice="4.385 0.000 0.000 0.000 4.385 0.000 0.000 0.000 4.547" Properties=species:S:1:pos:R:3 pbc="T T T"
Re 0.000 2.193 0.000
Re 2.193 0.000 0.000
Ni 0.000 0.000 0.000
Sb 2.193 2.193 2.273
Ir 0.000 0.000 2.273
```

Computed properties:
electronic total energy	-51.694	eV/atom
density	14.15	g/cm3